1.
{"formula": "In3SiBr", "functional": "PBE", "state": "optimized geometry", "e_above_lowest_polymorph_mev_per_atom": 0.0, "formation_energy_uncorrected_ev_per_atom": 0.126, "dft_energy_ev_per_atom": -2.936, "lattice": [[5.412, 0.000, 0.000], [0.000, 5.412, 0.000], [0.000, 0.000, 5.412]], "species": ["Si", "Br", "In", "In", "In"], "fractional_positions": [[0.000, 0.000, 0.000], [0.500, 0.500, 0.500], [0.000, 0.500, 0.000], [0.000, 0.000, 0.500], [0.500, 0.000, 0.000]]}



2.
{"formula": "InSiBr2", "functional": "PBE", "state": "optimized geometry", "e_above_lowest_polymorph_mev_per_atom": 114.6, "formation_energy_uncorrected_ev_per_atom": -0.060, "dft_energy_ev_per_atom": -2.937, "lattice": [[3.898, 0.002, 0.000], [-1.918, 3.393, 0.000], [0.000, 0.000, 9.440]], "species": ["Br", "Br", "In", "Si"], "fractional_positions": [[0.000, 0.000, 0.921], [0.500, 0.500, 0.315], [0.000, 0.000, 0.524], [0.500, 0.500, 0.741]]}



3.
{"formula": "InSiBr2", "functional": "PBE", "state": "optimized geometry", "e_above_lowest_polymorph_mev_per_atom": 184.0, "formation_energy_uncorrected_ev_per_atom": 0.009, "dft_energy_ev_per_atom": -2.868, "lattice": [[3.663, -0.001, 0.000], [-1.784, 3.200, 0.000], [0.000, 0.000, 9.447]], "species": ["Br", "Br", "In", "Si"], "fractional_positions": [[0.000, 0.000, 0.964], [0.000, 0.000, 0.536], [0.500, 0.500, 0.250], [0.500, 0.500, 0.750]]}



4.
{"formula": "InSiBr2", "functional": "PBE", "state": "optimized geometry", "e_above_lowest_polymorph_mev_per_atom": 168.0, "formation_energy_uncorrected_ev_per_atom": -0.007, "dft_energy_ev_per_atom": -2.884, "lattice": [[-4.957, 5.284, 6.426], [-3.114, 2.862, 8.712], [-1.370, 6.009, 7.471]], "species": ["Br", "Br", "In", "Si"], "fractional_positions": [[0.022, 0.022, 0.022], [0.478, 0.478, 0.478], [0.250, 0.250, 0.250], [0.750, 0.750, 0.750]]}



5.
{"formula": "In3Si5Br12", "functional": "PBE", "state": "optimized geometry", "formation_energy_uncorrected_ev_per_atom": -0.233, "dft_energy_ev_per_atom": -3.004, "lattice": [[15.435, 0.000, 0.000], [-5.145, 14.552, 0.000], [-5.145, -7.276, 12.603]], "species": ["In", "In", "In", "In", "In", "In", "In", "In", "In", "In", "In", "In", "Si", "Si", "Si", "Si", "Si", "Si", "Si", "Si", "Si", "Si", "Si", "Si", "Si", "Si", "Si", "Si", "Si", "Si", "Si", "Si", "Br", "Br", "Br", "Br", "Br", "Br", "Br", "Br", "Br", "Br", "Br", "Br", "Br", "Br", "Br", "Br", "Br", "Br", "Br", "Br", "Br", "Br", "Br", "Br", "Br", "Br", "Br", "Br", "Br", "Br", "Br", "Br", "Br", "Br", "Br", "Br", "Br", "Br", "Br", "Br", "Br", "Br", "Br", "Br", "Br", "Br", "Br", "Br"], "fractional_positions": [[0.750, 0.375, 0.125], [0.875, 0.750, 0.125], [0.375, 0.750, 0.625], [0.250, 0.125, 0.375], [0.875, 0.125, 0.250], [0.375, 0.625, 0.250], [0.625, 0.375, 0.750], [0.125, 0.875, 0.750], [0.750, 0.875, 0.625], [0.625, 0.250, 0.375], [0.125, 0.250, 0.875], [0.250, 0.625, 0.875], [0.125, 0.375, 0.250], [0.000, 0.500, 0.000], [0.000, 0.000, 0.000], [0.375, 0.250, 0.125], [0.500, 0.000, 0.500], [0.500, 0.500, 0.000], [0.125, 0.750, 0.375], [0.750, 0.125, 0.875], [0.750, 0.625, 0.375], [0.375, 0.125, 0.750], [0.625, 0.875, 0.250], [0.500, 0.500, 0.500], [0.500, 0.000, 0.000], [0.000, 0.000, 0.500], [0.250, 0.375, 0.625], [0.250, 0.875, 0.125], [0.000, 0.500, 0.500], [0.875, 0.250, 0.625], [0.625, 0.750, 0.875], [0.875, 0.625, 0.750], [0.695, 0.111, 0.017], [0.322, 0.517, 0.406], [0.983, 0.389, 0.305], [0.517, 0.195, 0.111], [0.583, 0.695, 0.678], [0.983, 0.594, 0.178], [0.322, 0.805, 0.417], [0.094, 0.917, 0.111], [0.594, 0.983, 0.678], [0.695, 0.583, 0.178], [0.805, 0.483, 0.389], [0.822, 0.906, 0.017], [0.111, 0.695, 0.517], [0.389, 0.406, 0.083], [0.083, 0.906, 0.389], [0.417, 0.111, 0.594], [0.083, 0.178, 0.195], [0.483, 0.678, 0.094], [0.822, 0.917, 0.305], [0.111, 0.417, 0.094], [0.389, 0.983, 0.805], [0.594, 0.611, 0.417], [0.906, 0.822, 0.517], [0.805, 0.322, 0.917], [0.406, 0.389, 0.583], [0.094, 0.178, 0.483], [0.195, 0.678, 0.083], [0.178, 0.083, 0.695], [0.611, 0.017, 0.195], [0.889, 0.583, 0.906], [0.517, 0.322, 0.906], [0.583, 0.889, 0.406], [0.917, 0.822, 0.805], [0.917, 0.094, 0.611], [0.889, 0.305, 0.483], [0.178, 0.094, 0.983], [0.611, 0.594, 0.917], [0.406, 0.017, 0.322], [0.305, 0.417, 0.822], [0.195, 0.517, 0.611], [0.906, 0.083, 0.889], [0.678, 0.195, 0.583], [0.483, 0.805, 0.889], [0.017, 0.406, 0.822], [0.417, 0.305, 0.322], [0.017, 0.611, 0.695], [0.678, 0.483, 0.594], [0.305, 0.889, 0.983]]}



6.
{"formula": "InSiBr2", "functional": "PBE", "state": "optimized geometry", "e_above_lowest_polymorph_mev_per_atom": 106.7, "formation_energy_uncorrected_ev_per_atom": -0.068, "dft_energy_ev_per_atom": -2.945, "lattice": [[4.014, 0.000, 0.000], [0.000, 3.530, -0.022], [0.000, 0.045, 8.044]], "species": ["Br", "Br", "In", "Si"], "fractional_positions": [[0.000, 0.750, 0.989], [0.000, 0.750, 0.511], [0.500, 0.250, 0.250], [0.500, 0.750, 0.750]]}



7.
{"formula": "InSiBr", "functional": "PBE", "state": "optimized geometry", "formation_energy_uncorrected_ev_per_atom": 0.042, "dft_energy_ev_per_atom": -3.236, "lattice": [[6.312, -0.013, 0.000], [3.800, 5.041, 0.000], [-5.056, -2.514, 2.822]], "species": ["Br", "In", "Si"], "fractional_positions": [[0.981, 0.981, 0.000], [0.251, 0.251, 0.000], [0.768, 0.768, 0.000]]}



8.
{"formula": "InSiBr2", "functional": "PBE", "state": "optimized geometry", "e_above_lowest_polymorph_mev_per_atom": 171.9, "formation_energy_uncorrected_ev_per_atom": -0.003, "dft_energy_ev_per_atom": -2.880, "lattice": [[2.199, 0.000, 10.062], [-1.099, 1.904, 10.062], [-1.099, -1.904, 10.062]], "species": ["Si", "Br", "Br", "In"], "fractional_positions": [[0.500, 0.500, 0.500], [0.890, 0.890, 0.890], [0.110, 0.110, 0.110], [0.000, 0.000, 0.000]]}